VASP calculation (PBE) on a relaxed structure of BMo.

Values from the calculation:
VASP energy	-9.263	eV per atom
space group	I4_1/amd
spin magnetization	0.0000	μB per atom
E above lowest polymorph	0.2	meV per atom
calculated density	8.5	g/cm³

a = 3.128 Å, b = 3.128 Å, c = 17.021 Å
α = 90.00°, β = 90.00°, γ = 90.00°
Fractional coordinates of all 16 atoms:
1 B 0.000 0.250 0.031
2 B 0.000 0.250 0.719
3 B 0.000 0.750 0.281
4 B 0.000 0.750 0.969
5 B 0.500 0.250 0.469
6 B 0.500 0.250 0.781
7 B 0.500 0.750 0.219
8 B 0.500 0.750 0.531
9 Mo 0.000 0.250 0.178
10 Mo 0.000 0.250 0.572
11 Mo 0.000 0.750 0.428
12 Mo 0.000 0.750 0.822
13 Mo 0.500 0.250 0.322
14 Mo 0.500 0.250 0.928
15 Mo 0.500 0.750 0.072
16 Mo 0.500 0.750 0.678



VASP calculation (PBE) on a relaxed structure of B2Mo.

Values from the calculation:
VASP energy	-8.414	eV per atom
space group	Pmmn
spin magnetization	0.0001	μB per atom
calculated density	6.8	g/cm³

a = 2.921 Å, b = 4.641 Å, c = 4.231 Å
α = 90.00°, β = 90.00°, γ = 90.00°
Fractional coordinates of all 6 atoms:
1 B 0.250 0.057 0.116
2 B 0.250 0.443 0.116
3 B 0.750 0.557 0.884
4 B 0.750 0.943 0.884
5 Mo 0.250 0.250 0.620
6 Mo 0.750 0.750 0.380